A plane-wave DFT calculation with PBE was carried out for crystalline PmPrInPd at its relaxed geometry.

a = 7.542 Å, b = 7.542 Å, c = 7.542 Å
α = 90.00°, β = 90.00°, γ = 90.00°
Space group F-43m (No. 216)
One atom of each set of equivalent atoms:
1 Pm 0.000 0.000 0.000 (multiplicity 4)
2 Pr 0.000 0.000 0.500 (multiplicity 4)
3 In 0.250 0.250 0.250 (multiplicity 4)
4 Pd 0.250 0.250 0.750 (multiplicity 4)

Summary:
- Energy of formation from the pure elements: -518 meV/atom
- Calculated density: 7.9 g cm⁻³


A plane-wave DFT calculation with PBE was carried out for crystalline PmInPdPt at its relaxed geometry.

a = 4.6848 Å, b = 4.6848 Å, c = 13.4476 Å
α = 90.00°, β = 90.00°, γ = 120.00°
Space group R3m (No. 160, hexagonal axes)
One atom of each set of equivalent atoms:
1 Pm 0.0000 0.0000 0.0000 (multiplicity 3)
2 In 0.0000 0.0000 0.4973 (multiplicity 3)
3 Pd 0.0000 0.0000 0.2212 (multiplicity 3)
4 Pt 0.0000 0.0000 0.7783 (multiplicity 3)

Summary:
- Energy of formation from the pure elements: -836 meV/atom
- Calculated density: 10.9 g cm⁻³


A plane-wave DFT calculation with PBE was carried out for crystalline Pm2In5Pd2Rh at its relaxed geometry.

a = 10.327 Å, b = 10.327 Å, c = 4.156 Å
α = 90.00°, β = 90.00°, γ = 90.00°
Space group P4/mbm (No. 127)
One atom of each set of equivalent atoms:
1 Pm 0.180 0.320 0.000 (multiplicity 4)
2 In 0.000 0.500 0.500 (multiplicity 2)
3 In 0.056 0.803 0.500 (multiplicity 8)
4 Pd 0.121 0.621 0.000 (multiplicity 4)
5 Rh 0.000 0.000 0.000 (multiplicity 2)

Summary:
- Energy of formation from the pure elements: -497 meV/atom
- Calculated density: 8.8 g cm⁻³


A plane-wave DFT calculation with PBE was carried out for crystalline Pm2In5PdRh2 at its relaxed geometry.

a = 10.197 Å, b = 10.197 Å, c = 4.234 Å
α = 90.00°, β = 90.00°, γ = 90.00°
Space group P4/mbm (No. 127)
One atom of each set of equivalent atoms:
1 Pm 0.179 0.321 0.000 (multiplicity 4)
2 In 0.000 0.500 0.500 (multiplicity 2)
3 In 0.061 0.800 0.500 (multiplicity 8)
4 Pd 0.000 0.000 0.000 (multiplicity 2)
5 Rh 0.120 0.620 0.000 (multiplicity 4)

Summary:
- Energy of formation from the pure elements: -508 meV/atom
- Calculated density: 8.9 g cm⁻³


A plane-wave DFT calculation with PBE was carried out for crystalline PmInPdRu at its relaxed geometry.

a = 6.799 Å, b = 6.799 Å, c = 6.799 Å
α = 90.00°, β = 90.00°, γ = 90.00°
Space group F-43m (No. 216)
One atom of each set of equivalent atoms:
1 Pm 0.000 0.000 0.000 (multiplicity 4)
2 In 0.000 0.000 0.500 (multiplicity 4)
3 Pd 0.250 0.250 0.250 (multiplicity 4)
4 Ru 0.250 0.250 0.750 (multiplicity 4)

Summary:
- Energy of formation from the pure elements: -397 meV/atom
- Calculated density: 9.9 g cm⁻³


A plane-wave DFT calculation with PBE was carried out for crystalline PmIn2Sb2Pd7 at its relaxed geometry.

a = 5.706 Å, b = 5.733 Å, c = 15.656 Å
α = 90.00°, β = 95.78°, γ = 90.00°
Space group C2/m (No. 12)
One atom of each set of equivalent atoms:
1 Pm 0.000 0.000 0.000 (multiplicity 2)
2 In 0.123 0.000 0.414 (multiplicity 4)
3 Sb 0.074 0.500 0.251 (multiplicity 4)
4 Pd 0.000 0.500 0.000 (multiplicity 2)
5 Pd 0.117 0.500 0.420 (multiplicity 4)
6 Pd 0.208 0.251 0.858 (multiplicity 8)

Summary:
- Energy relative to the elements, uncorrected: -0.463 eV/atom
- Calculated density: 8.9 g cm⁻³


Number 1: N(E_F) 4.20 states/eV/f.u., volume 429.0 Å³/cell. Number 2: N(E_F) 1.83 states/eV/f.u., volume 255.7 Å³/cell. Number 3: N(E_F) 7.62 states/eV/f.u., volume 443.2 Å³/cell. Number 4: N(E_F) 6.96 states/eV/f.u., volume 440.2 Å³/cell. Number 5: N(E_F) 1.06 states/eV/f.u., volume 314.3 Å³/cell. Number 6: N(E_F) 5.63 states/eV/f.u., volume 509.6 Å³/cell.